First-principles (PBE) data for a geometry-optimized KMgTi3 structure, as listed in Alexandria via LeMat-Bulk. Values from VASP.

```
&SYSTEM
  ibrav = 0, nat = 5, ntyp = 3
/
ATOMIC_SPECIES
Ti 47.87 Ti.upf
K 39.10 K.upf
Mg 24.30 Mg.upf
ATOMIC_POSITIONS crystal
Ti 0.500 0.000 0.000
Ti 0.000 0.500 0.000
Ti 0.000 0.000 0.500
K 0.500 0.500 0.500
Mg 0.000 0.000 0.000
CELL_PARAMETERS angstrom
5.173 0.000 0.000
0.000 5.173 0.000
0.000 0.000 5.173
```

Calculated values
size of the total moment: 4.70 Bohr magnetons per cell

---

First-principles (PBE) data for a geometry-optimized K2Rb3Hg3 structure, as listed in Alexandria via LeMat-Bulk. Values from VASP.

```
&SYSTEM
  ibrav = 0, nat = 16, ntyp = 3
/
ATOMIC_SPECIES
Rb 85.47 Rb.upf
K 39.10 K.upf
Hg 200.59 Hg.upf
ATOMIC_POSITIONS crystal
Rb 0.943 0.887 0.380
Rb 0.359 0.717 0.750
Rb 0.057 0.113 0.620
Rb 0.943 0.887 0.120
Rb 0.057 0.113 0.880
Rb 0.641 0.283 0.250
K 0.773 0.546 0.916
K 0.227 0.454 0.084
K 0.227 0.454 0.416
K 0.773 0.546 0.584
Hg 0.587 0.174 0.466
Hg 0.413 0.826 0.966
Hg 0.413 0.826 0.534
Hg 0.652 0.304 0.750
Hg 0.587 0.174 0.034
Hg 0.348 0.696 0.250
CELL_PARAMETERS angstrom
-0.434 -2.504 -4.807
4.274 -4.856 5.219
-15.836 -7.951 5.571
```

Calculated values
size of the total moment: 0.00 Bohr magnetons per cell

---

The evaluated excess energy over the best structure of this formula in the dataset for the records listed, in turn: 0.000, 0.000 eV per formula unit.